1.
SrGaSb2: optimized geometry, GGA-PBE.

```
SrGaSb2
1.0
-2.6485 3.0873 -2.6130
0.0590 -3.0738 -3.6916
-4.0186 -2.0542 1.6462
Sb Ga Sr
2 1 1
direct
0.0000 0.0000 0.5000
0.0000 0.5000 0.0000
0.5000 0.0000 0.0000
0.5000 0.5000 0.5000
```

Calculated values
Formation energy without anion corrections ... -0.438 eV/atom
Total moment ... 0.000 μB per formula unit
D(E_F) ... 0.273 states/eV/atom

2.
SrGaSb2Te: optimized geometry, GGA-PBE.

```
SrGaSb2Te
1.0
5.3451 0.0000 0.0000
0.0000 5.3451 0.0000
0.0000 0.0000 5.7037
Sb Te Ga Sr
2 1 1 1
direct
0.0000 0.5000 0.0000
0.5000 0.0000 0.0000
0.0000 0.0000 0.5000
0.0000 0.0000 0.0000
0.5000 0.5000 0.5000
```

Calculated values
Formation energy without anion corrections ... -0.142 eV/atom
Total moment ... 0.000 μB per formula unit
D(E_F) ... 1.194 states/eV/atom
ΔE to the lowest computed polymorph ... 0 meV per atom

3.
Sr2GaSbTe5: optimized geometry, GGA-PBE.

```
Sr2GaSbTe5
1.0
-3.6654 -2.4704 -0.2432
4.8143 -3.9854 8.2148
-6.5148 8.8667 8.1197
Sr Ga Sb Te
4 2 2 10
direct
0.8755 0.7509 0.8139
0.1119 0.2238 0.6812
0.1245 0.2491 0.3139
0.8881 0.7762 0.1812
0.5648 0.1296 0.9385
0.4352 0.8704 0.4385
0.7883 0.5765 0.5245
0.2117 0.4235 0.0245
0.3558 0.7116 0.0001
0.6887 0.3774 0.8632
0.4983 0.9967 0.7734
0.2805 0.5610 0.6773
0.9522 0.9045 0.5517
0.6442 0.2884 0.5001
0.3113 0.6226 0.3632
0.5017 0.0033 0.2734
0.7195 0.4390 0.1773
0.0478 0.0955 0.0517
```

Calculated values
Formation energy without anion corrections ... -0.887 eV/atom
Total moment ... 0.000 μB per formula unit
D(E_F) ... 0.008 states/eV/atom

4.
SrGaSb2Te: optimized geometry, GGA-PBE.

```
SrGaSb2Te
1.0
6.0733 0.0000 0.0000
0.0000 6.0733 0.0000
0.0000 0.0000 6.0970
Sb Te Ga Sr
2 1 1 1
direct
0.0000 0.5000 0.0000
0.5000 0.0000 0.0000
0.0000 0.0000 0.5000
0.5000 0.5000 0.5000
0.0000 0.0000 0.0000
```

Calculated values
Formation energy without anion corrections ... 0.532 eV/atom
Total moment ... 0.000 μB per formula unit
D(E_F) ... 1.119 states/eV/atom
ΔE to the lowest computed polymorph ... 674 meV per atom

5.
SrTl2GaSb2: optimized geometry, GGA-PBE.

```
SrTl2GaSb2
1.0
4.6705 0.0000 0.0000
0.0000 7.9210 0.0000
0.0000 0.0000 10.1799
Sr Tl Ga Sb
2 4 2 4
direct
0.0000 0.0047 0.4205
0.0000 0.5047 0.5795
0.5000 0.0318 0.0551
0.0000 0.3229 0.1623
0.5000 0.5318 0.9449
0.0000 0.8229 0.8377
0.5000 0.1615 0.6672
0.5000 0.6615 0.3328
0.0000 0.2207 0.8225
0.5000 0.3040 0.4033
0.0000 0.7207 0.1775
0.5000 0.8040 0.5967
```

Calculated values
Formation energy without anion corrections ... -0.327 eV/atom
Total moment ... 0.000 μB per formula unit
D(E_F) ... 0.439 states/eV/atom

6.
SrZn2GaSb: optimized geometry, GGA-PBE.

```
SrZn2GaSb
1.0
5.3529 0.0000 0.0000
0.0000 5.2915 0.0000
0.0000 0.0000 5.3529
Sb Zn Ga Sr
1 2 1 1
direct
0.0000 0.0000 0.0000
0.0000 0.0000 0.5000
0.5000 0.0000 0.0000
0.0000 0.5000 0.0000
0.5000 0.5000 0.5000
```

Calculated values
Formation energy without anion corrections ... 0.189 eV/atom
Total moment ... 0.000 μB per formula unit
D(E_F) ... 0.518 states/eV/atom

7.
TaGaSb3: optimized geometry, GGA-PBE.

```
TaGaSb3
1.0
5.3893 0.0000 0.0000
0.0000 5.3893 0.0000
0.0000 0.0000 5.3893
Sb Ga Ta
3 1 1
direct
0.0000 0.5000 0.0000
0.0000 0.0000 0.5000
0.5000 0.0000 0.0000
0.5000 0.5000 0.5000
0.0000 0.0000 0.0000
```

Calculated values
Formation energy without anion corrections ... 0.412 eV/atom
Total moment ... 0.000 μB per formula unit
D(E_F) ... 0.718 states/eV/atom
ΔE to the lowest computed polymorph ... 0 meV per atom

8.
TaGaSb3: optimized geometry, GGA-PBE.

```
TaGaSb3
1.0
5.1395 0.0000 0.0000
0.0000 5.1395 0.0000
0.0000 0.0000 5.1395
Sb Ga Ta
3 1 1
direct
0.0000 0.5000 0.0000
0.0000 0.0000 0.5000
0.5000 0.0000 0.0000
0.0000 0.0000 0.0000
0.5000 0.5000 0.5000
```

Calculated values
Formation energy without anion corrections ... 1.260 eV/atom
Total moment ... 0.000 μB per formula unit
D(E_F) ... 1.425 states/eV/atom
ΔE to the lowest computed polymorph ... 848 meV per atom

9.
Ta2Ga2Sb: optimized geometry, GGA-PBE.

```
Ta2Ga2Sb
1.0
-5.3345 -4.2708 2.1749
-1.3620 -1.7691 -6.8148
2.3990 -2.8622 0.2636
Sb Ga Ta
2 4 4
direct
0.0000 0.0000 0.0000
0.5000 0.5000 0.0000
0.1615 0.6615 0.5000
0.6615 0.8385 0.5000
0.8385 0.3385 0.5000
0.3385 0.1615 0.5000
0.3651 0.8651 0.0000
0.8651 0.6349 0.0000
0.6349 0.1349 0.0000
0.1349 0.3651 0.0000
```

Calculated values
Formation energy without anion corrections ... 0.076 eV/atom
Total moment ... 0.000 μB per formula unit
D(E_F) ... 0.500 states/eV/atom

10.
TaGa3Sb: optimized geometry, GGA-PBE.

```
TaGa3Sb
1.0
5.0751 0.0000 0.0000
0.0000 5.0751 0.0000
0.0000 0.0000 5.0751
Sb Ga Ta
1 3 1
direct
0.5000 0.5000 0.5000
0.0000 0.5000 0.0000
0.0000 0.0000 0.5000
0.5000 0.0000 0.0000
0.0000 0.0000 0.0000
```

Calculated values
Formation energy without anion corrections ... 0.650 eV/atom
Total moment ... 0.000 μB per formula unit
D(E_F) ... 0.588 states/eV/atom
ΔE to the lowest computed polymorph ... 0 meV per atom

11.
TaGa2Sb: optimized geometry, GGA-PBE.

```
TaGa2Sb
1.0
7.7423 0.0000 0.0000
0.0000 7.7423 0.0000
3.8711 3.8711 2.8014
Sb Ga Ta
2 4 2
direct
0.5000 0.5000 0.0000
0.2500 0.7500 0.5000
0.6471 0.1250 0.2500
0.1029 0.6250 0.2500
0.3750 0.3529 0.7500
0.8750 0.8971 0.7500
0.0000 0.0000 0.0000
0.7500 0.2500 0.5000
```

Calculated values
Formation energy without anion corrections ... 0.415 eV/atom
Total moment ... 0.000 μB per formula unit
D(E_F) ... 0.763 states/eV/atom

12.
TaGa3Sb: optimized geometry, GGA-PBE.

```
TaGa3Sb
1.0
-3.4528 -3.8325 0.1967
3.6055 -3.1491 1.9319
-1.3142 1.4296 4.7831
Sb Ga Ta
1 3 1
direct
0.0000 0.0000 0.0000
0.0000 0.5000 0.0000
0.0000 0.0000 0.5000
0.5000 0.0000 0.0000
0.5000 0.5000 0.5000
```

Calculated values
Formation energy without anion corrections ... 1.432 eV/atom
Total moment ... 2.539 μB per formula unit
D(E_F) ... 1.244 states/eV/atom
ΔE to the lowest computed polymorph ... 783 meV per atom

Question: The highest D(E_F) belongs to which entry?
Answer: number 8

Question: Which formula does entry 12 have?
Answer: TaGa3Sb

Question: Number 12 is which compound?
Answer: TaGa3Sb